Compound: TbLuGa4Ir2
Source: OQMD via LeMat-Bulk
Functional: GGA-PBE
Structure: optimized geometry

Structure (POSCAR):
```
TbLuGa4Ir2
1.0
-0.554 -4.079 0.572
3.329 -1.310 -6.122
4.659 1.777 2.153
Ir Ga Lu Tb
2 4 1 1
Cartesian
3.888 -2.850 -1.382
1.872 -0.105 1.040
3.657 -3.162 -3.928
4.123 -0.583 -0.085
5.464 -1.111 -2.551
1.641 -2.368 -0.220
3.480 -2.264 2.377
2.283 -0.694 -2.716
```

Calculated values
**DFT total energy**: -44.915 eV/cell
**Crystal system**: monoclinic
**Symmetry**: No. 6


Compound: YLuGa4Ir2
Source: OQMD via LeMat-Bulk
Functional: GGA-PBE
Structure: optimized geometry

Structure (POSCAR):
```
YLuGa4Ir2
1.0
4.224 0.000 0.000
0.000 6.938 0.000
-2.112 0.000 5.015
Lu Ga Ir Y
1 4 2 1
Cartesian
2.112 0.000 4.243
0.000 4.846 3.627
0.000 2.092 3.627
2.112 1.358 1.395
2.112 5.580 1.395
0.000 0.000 2.102
2.112 3.469 2.910
0.001 3.469 0.760
```

Calculated values
**DFT total energy**: -46.824 eV/cell
**Crystal system**: orthorhombic
**Symmetry**: No. 38


Compound: MgGaIr2
Source: OQMD via LeMat-Bulk
Functional: GGA-PBE
Structure: optimized geometry

Structure (POSCAR):
```
MgGaIr2
1.0
2.221 -3.847 0.000
2.221 3.847 0.000
0.000 0.000 7.548
Ir Mg Ga
4 2 2
Cartesian
2.221 1.282 0.585
2.221 1.282 3.189
2.221 -1.282 6.963
2.221 -1.282 4.359
0.000 0.000 5.661
0.000 0.000 1.887
2.221 -1.282 1.887
2.221 1.282 5.661
```

Calculated values
**DFT total energy**: -44.229 eV/cell
**Crystal system**: hexagonal
**Symmetry**: No. 194


Compound: MgGaIr2
Source: OQMD via LeMat-Bulk
Functional: GGA-PBE
Structure: optimized geometry

Structure (POSCAR):
```
MgGaIr2
1.0
0.241 -3.404 2.806
-3.317 -2.909 0.234
0.546 -4.103 -1.546
Mg Ir Ga
1 2 1
Cartesian
-0.633 -2.604 0.373
0.000 0.000 0.000
-1.898 -7.811 1.120
-1.265 -5.208 0.747
```

Calculated values
**DFT total energy**: -22.591 eV/cell
**Crystal system**: cubic
**Symmetry**: No. 216